Y3Ho2Hg2 | Alexandria | GGA-PBE | relaxed; space group = C2/m, No. 12
1.0
5.349 0.001 -0.001
-2.674 4.626 -0.307
-0.001 -2.551 8.106
Y Ho Hg
3 2 2
Direct
0.658 0.315 0.473
0.500 0.000 0.000
0.342 0.685 0.527
0.925 0.849 0.274
0.075 0.151 0.726
0.213 0.427 0.141
0.787 0.573 0.859



CaGa2FeGe | Alexandria | GGA-PBE | relaxed; space group = P4/mmm, No. 123
1.0
-4.364 -1.243 -0.927
0.726 -4.084 2.060
-1.359 1.780 4.009
Ga Ca Fe Ge
2 1 1 1
Direct
0.500 0.000 0.000
0.000 0.500 0.000
0.500 0.500 0.500
0.000 0.000 0.000
0.000 0.000 0.500



LiEr2Ir | Alexandria | GGA-PBE | relaxed; energy above the lowest structure with this stoichiometry = 0.000 eV/atom; space group = Fm-3m, No. 225
1.0
4.869 0.000 0.000
2.435 4.217 0.000
2.435 1.406 3.976
Er Li Ir
2 1 1
Direct
0.250 0.250 0.250
0.750 0.750 0.750
0.000 0.000 0.000
0.500 0.500 0.500



Density, respectively: 8.44, 5.19, 10.86 Mg/m³.
ΔE_f, respectively: -240, -238, -615 meV per atom.